An optimized crystal structure of Sm3PdPt8, computed with GGA-PBE.

a = 5.4363 Å, b = 5.4363 Å, c = 9.3991 Å
α = 73.19°, β = 73.19°, γ = 60.00°
Fractional coordinates of all 12 atoms:
Pt 0.9417 0.4373 0.1837
Pt 0.4373 0.9417 0.1837
Pt 0.4373 0.4373 0.1837
Pt 0.9380 0.4383 0.6856
Pt 0.1886 0.1886 0.4342
Pt 0.4383 0.9380 0.6856
Pt 0.9380 0.9380 0.6856
Pt 0.6883 0.6883 0.9350
Sm 0.3779 0.3779 0.8662
Sm 0.9877 0.9877 0.0369
Sm 0.5088 0.5088 0.4737
Pd 0.8679 0.8679 0.3962

Properties
Space group: R3m
Total energy, Ha/atom: -0.2414
Density of states at the Fermi level, states/eV/atom: 0.93
ΔE_f, meV/atom: -930
Spin magnetization, Bohr magnetons per cell: 0.00